one.
7
Lattice="-1.3730 3.6517 -0.7463 -2.5614 1.7098 2.5085 8.9100 7.0326 7.4492" Properties=species:S:1:pos:R:3 comment="Tm4TeSe2 (PBE, optimized geometry)" volume_a3_per_atom=26.121 pbc="T T T"
Tm 4.8320 4.9399 4.7116
Tm 0.2463 2.5866 1.6332
Tm 4.7293 9.8076 7.5783
Tm 0.1435 7.4543 4.4998
Te 0.0000 0.0000 0.0000
Se 4.8226 7.3952 6.1731
Se 0.1530 4.9989 3.0384

two.
14
Lattice="-2.9827 -3.3188 -5.5340 2.5075 -4.8419 4.5613 -6.7859 -0.0439 3.6838" Properties=species:S:1:pos:R:3 comment="Tm4TeSe2 (PBE, optimized geometry)" volume_a3_per_atom=26.316 pbc="T T T"
Tm -0.3690 -6.3372 -0.7553
Tm -0.1062 -1.8235 -0.2175
Tm -3.4991 -1.8455 1.6246
Tm -3.7620 -6.3592 1.0864
Tm -3.1868 -1.6704 -1.8466
Tm -0.4438 -2.4320 3.2021
Tm -6.5818 -1.6924 -0.0036
Tm -3.8346 -2.4539 5.0429
Te -1.9341 -4.0914 0.4346
Te -5.3270 -4.1133 2.2765
Se 1.4945 -4.5602 2.6986
Se -1.9698 -3.6006 -3.6714
Se -1.8985 -4.5836 4.5404
Se -5.3626 -3.6211 -1.8293

Energies, relative to the best one, in eV/atom: one 0.000; two 0.241.

one.
6
Lattice="4.1316 0.0000 0.0000 0.0000 5.8199 0.0000 -2.0658 -2.9099 6.1584" Properties=species:S:1:pos:R:3 comment="Tm3TeSe2 (PBE, optimized geometry)" volume_a3_per_atom=24.680 pbc="T T T"
Tm 3.0987 1.4550 0.8098
Tm -1.0329 1.4550 5.3487
Tm 1.0329 -1.4550 3.0792
Te 1.0329 1.4550 3.0792
Se 3.0987 4.3649 1.0933
Se -1.0329 -1.4550 5.0651

two.
12
Lattice="-2.3971 2.5656 1.8519 0.7149 -3.5854 5.8926 8.2797 7.2386 0.6889" Properties=species:S:1:pos:R:3 comment="Tm3TeSe2 (PBE, optimized geometry)" volume_a3_per_atom=24.720 pbc="T T T"
Tm 4.0227 4.2830 5.6550
Tm 2.5748 1.9357 2.7783
Tm 1.7153 1.2751 6.8355
Tm 4.8823 4.9437 1.5979
Tm 7.8043 7.0505 2.4613
Tm -1.2067 -0.8317 5.9721
Te 6.6384 4.7498 4.1396
Te -0.0409 1.4689 4.2938
Se 3.9848 1.5120 5.1904
Se 2.6127 4.7068 3.2429
Se 5.0298 7.8100 2.0724
Se 1.5677 -1.5912 6.3609

Energies, relative to the best one, in eV/atom: one 0.045; two 0.000.

one.
12
Lattice="6.4543 -0.3227 3.3462 2.4332 6.7763 1.2615 0.3163 -0.1613 7.2877" Properties=species:S:1:pos:R:3 comment="Tm3Te2Se (PBE, optimized geometry)" volume_a3_per_atom=26.430 pbc="T T T"
Tm 4.3323 1.2776 4.7663
Tm 6.5205 5.1065 3.3805
Tm 4.8715 5.0147 7.1291
Tm 2.4956 5.1760 3.8141
Tm 6.7082 1.1162 8.0813
Tm 2.3671 1.3471 1.2272
Te 0.0000 0.0000 0.0000
Te 4.4438 3.2268 2.3039
Te 6.7526 3.0655 5.7483
Te 2.4512 3.2268 6.1471
Se 2.2376 -0.1613 3.5817
Se 4.5329 -0.3227 7.0522

two.
12
Lattice="5.8842 0.0000 0.0000 0.0000 9.4487 -2.1186 0.0000 -6.4760 7.1992" Properties=species:S:1:pos:R:3 comment="Tm3Te2Se (PBE, optimized geometry)" volume_a3_per_atom=26.627 pbc="T T T"
Tm 5.8426 4.5378 2.4629
Tm 2.9005 3.0487 -0.0821
Tm 5.8426 -0.0760 5.1626
Tm 2.9005 -1.5651 2.6176
Tm 2.9017 2.2313 3.8135
Tm 5.8438 0.7414 1.2671
Te 2.9005 4.9988 2.1874
Te 5.8426 3.5148 -0.3489
Te 2.9005 -0.5421 5.4295
Te 5.8426 -2.0261 2.8932
Se 5.8438 2.2280 3.8077
Se 2.9017 0.7447 1.2728

Energies, relative to the best one, in eV/atom: one 0.000; two 0.011.

one.
10
Lattice="-1.8135 -3.4942 0.3813 5.9558 -2.8748 1.9820 -6.6506 4.4003 8.6940" Properties=species:S:1:pos:R:3 comment="Tm3TeSe (PBE, optimized geometry)" volume_a3_per_atom=29.083 pbc="T T T"
Tm -5.1105 2.4916 8.7845
Tm 2.6022 -4.4603 2.2727
Tm -1.9834 0.3877 4.3771
Tm -0.5250 -2.3564 6.6801
Tm -2.2759 0.9114 7.7850
Tm -0.2324 -2.8801 3.2723
Te -0.8650 -0.4933 1.6221
Te -1.6434 -1.4753 9.4351
Se -4.1283 1.6731 5.9548
Se 1.6199 -3.6417 5.1024

two.
10
Lattice="5.3476 0.0000 0.0000 0.0000 5.8777 0.0000 0.0000 0.0000 8.3130" Properties=species:S:1:pos:R:3 comment="Tm3TeSe (PBE, optimized geometry)" volume_a3_per_atom=26.129 pbc="T T T"
Tm 2.6738 2.5809 4.1565
Tm 2.6738 1.1114 7.1549
Tm 0.0000 4.0504 6.3482
Tm 2.6738 5.5197 4.1565
Tm 0.0000 1.1115 1.9648
Tm 2.6738 4.0503 1.1581
Te 0.0000 4.0503 3.0458
Te 0.0000 1.1115 5.2672
Se 2.6738 4.0502 6.7239
Se 2.6738 1.1113 1.5892

Energies, relative to the best one, in eV/atom: one 0.000; two 0.045.

one.
12
Lattice="4.2639 0.0000 0.0000 0.0000 7.8588 0.0000 0.0000 0.0000 9.2768" Properties=species:S:1:pos:R:3 comment="UTeSe (PBE, optimized geometry)" volume_a3_per_atom=25.905 pbc="T T T"
U 1.0660 6.1328 1.2025
U 1.0660 2.2034 3.4358
U 3.1979 1.7260 8.0742
U 3.1979 5.6554 5.8409
Te 1.0660 4.1581 7.7979
Te 1.0660 0.2287 6.1172
Te 3.1979 3.7007 1.4789
Te 3.1979 7.6301 3.1595
Se 1.0660 5.0779 3.9808
Se 1.0660 1.1485 0.6576
Se 3.1979 2.7809 5.2960
Se 3.1979 6.7104 8.6192

two.
3
Lattice="5.0300 0.0000 0.0000 2.5150 4.3561 0.0000 2.5150 1.4520 4.1070" Properties=species:S:1:pos:R:3 comment="UTeSe (PBE, optimized geometry)" volume_a3_per_atom=29.997 pbc="T T T"
Te 0.0000 0.0000 0.0000
U 2.5150 1.4520 1.0267
Se 5.0300 2.9041 2.0535

three.
12
Lattice="5.3526 0.0000 0.0000 0.0000 5.9422 0.0000 0.0000 0.0000 9.2749" Properties=species:S:1:pos:R:3 comment="UTeSe (PBE, optimized geometry)" volume_a3_per_atom=24.583 pbc="T T T"
U 1.3382 4.4549 3.8633
U 1.3382 1.4838 0.7741
U 4.0145 1.4873 5.4116
U 4.0145 4.4584 8.5008
Te 1.3382 2.9728 6.9545
Te 1.3382 0.0017 6.9579
Te 4.0145 2.9694 2.3204
Te 4.0145 5.9405 2.3170
Se 1.3382 1.4830 3.8655
Se 1.3382 4.4541 0.7720
Se 4.0145 4.4592 5.4094
Se 4.0145 1.4881 8.5029

Energies, relative to the best one, in eV/atom: one 0.000; two 0.190; three 0.153.

one.
12
Lattice="8.1447 0.0000 0.0000 0.0000 8.1235 -0.5221 0.0000 -3.6619 6.7753" Properties=species:S:1:pos:R:3 comment="UTeSe (PBE, optimized geometry)" volume_a3_per_atom=36.058 pbc="T T T"
Te 4.8896 1.1196 4.6097
Te 0.8172 1.5110 5.0311
Te 3.2551 3.3420 1.6435
Te 7.3275 2.9505 1.2221
Se 1.2013 5.5625 4.0932
Se 5.2736 -2.9319 5.5476
Se 6.9434 -1.1010 2.1599
Se 2.8710 7.3935 0.7056
U 3.0429 3.5203 4.6798
U 7.1152 -0.8897 4.9610
U 5.1018 0.9413 1.5734
U 1.0294 5.3512 1.2922

two.
12
Lattice="-3.6081 0.4515 1.5275 2.6278 -1.8896 6.7655 2.2352 10.6945 2.1188" Properties=species:S:1:pos:R:3 comment="UTeSe (PBE, optimized geometry)" volume_a3_per_atom=27.433 pbc="T T T"
U -1.8635 1.8598 2.6862
U 3.1184 7.3966 7.7255
U 1.4599 6.6924 4.0161
U -0.2050 2.5639 6.3957
Te -0.9128 4.6941 4.0941
Te 2.1677 4.5622 6.3177
Te 1.7876 9.9747 3.8201
Te -0.5327 -0.7184 6.5917
Se 0.4758 7.6703 6.4944
Se 0.7791 1.5860 3.9173
Se 2.2360 1.3253 7.4356
Se -0.9811 7.9311 2.9762

Energies, relative to the best one, in eV/atom: one 0.097; two 0.000.

one.
6
Lattice="-2.6952 0.6420 4.2606 -3.4964 -3.4006 -1.6993 4.7412 -5.2719 0.7947" Properties=species:S:1:pos:R:3 comment="UTeSe (PBE, optimized geometry)" volume_a3_per_atom=29.211 pbc="T T T"
U 0.8382 -3.3479 1.0505
U -2.2885 -4.6826 2.3055
Te 0.4485 -4.4197 3.9971
Te -1.8988 -3.6108 -0.6411
Se -1.2621 -1.9330 2.5404
Se -0.1882 -6.0975 0.8156

two.
3
Lattice="-2.5701 1.8457 2.5567 -3.2512 0.3218 -3.5006 0.0750 -3.8458 2.8517" Properties=species:S:1:pos:R:3 comment="UTeSe (PBE, optimized geometry)" volume_a3_per_atom=26.924 pbc="T T T"
Te -2.7475 -1.2259 2.4390
U -2.5715 -0.7592 -0.9563
Se -0.4273 0.3068 0.4251

three.
3
Lattice="-1.0806 3.6097 0.2179 -1.2303 -0.1531 -3.5648 -3.5392 -3.2354 3.3585" Properties=species:S:1:pos:R:3 comment="UTeSe (PBE, optimized geometry)" volume_a3_per_atom=24.741 pbc="T T T"
Te -3.0274 -0.9719 1.0866
U -2.5889 1.2681 -1.1589
Se -0.2338 -0.0751 0.0839

Energies, relative to the best one, in eV/atom: one 0.022; two 0.154; three 0.000.

one.
5
Lattice="-0.8509 -4.3840 -0.8891 4.4731 -0.8268 -0.2039 0.0349 -0.9115 4.4611" Properties=species:S:1:pos:R:3 comment="V3TeSe (PBE, optimized geometry)" volume_a3_per_atom=18.882 pbc="T T T"
Te 1.8285 -3.0612 1.6841
Se 0.0000 0.0000 0.0000
V 2.2365 -0.4134 -0.1020
V 0.0174 -0.4558 2.2306
V -0.4254 -2.1920 -0.4445

two.
5
Lattice="-4.6255 -0.7344 2.1093 -0.3203 -4.5826 -2.2980 2.2104 -2.2009 4.0809" Properties=species:S:1:pos:R:3 comment="V3TeSe (PBE, optimized geometry)" volume_a3_per_atom=27.104 pbc="T T T"
Te 0.0000 0.0000 0.0000
Se -1.3677 -3.7590 1.9461
V -0.1602 -2.2913 -1.1490
V 1.1052 -1.1005 2.0404
V -2.3127 -0.3672 1.0547

Energies, relative to the best one, in eV/atom: one 0.000; two 0.546.

one.
3
Lattice="-0.2563 -3.4785 0.0896 3.0245 1.5045 -0.8730 1.9364 0.0316 6.7634" Properties=species:S:1:pos:R:3 comment="VTeSe (PBE, optimized geometry)" volume_a3_per_atom=24.723 pbc="T T T"
Te 0.1747 0.0028 0.6103
Se 3.0133 -0.1388 3.2285
V 1.5166 -1.8064 2.1413

two.
6
Lattice="-2.3498 2.0115 1.1869 1.9086 -1.3002 5.9823 5.3509 4.7569 -2.0922" Properties=species:S:1:pos:R:3 comment="VTeSe (PBE, optimized geometry)" volume_a3_per_atom=25.322 pbc="T T T"
V 3.5771 1.7972 4.0360
V 1.3327 3.6710 1.0410
Te 3.0222 4.3784 3.1871
Te 1.8875 1.0898 1.8899
Se 1.6078 1.3921 5.4479
Se 3.3019 4.0761 -0.3709

Energies, relative to the best one, in eV/atom: one 0.027; two 0.000.

one.
12
Lattice="5.9666 0.6688 0.0000 -0.4618 7.2424 0.0000 0.0000 0.0000 6.9150" Properties=species:S:1:pos:R:3 comment="VTeSe (PBE, optimized geometry)" volume_a3_per_atom=25.079 pbc="T T T"
V 4.2602 4.1244 0.8818
V 4.2279 4.1212 4.3393
V 1.2446 3.7868 6.0332
V 1.2769 3.7900 2.5757
Te 3.4565 2.2060 2.6131
Te 5.0316 6.0396 6.0706
Te 2.0483 5.7052 4.3019
Te 0.4732 1.8716 0.8444
Se 5.0777 5.7322 2.5786
Se 3.4104 2.5134 6.0361
Se 0.4271 2.1790 4.3364
Se 2.0944 5.3978 0.8789

two.
12
Lattice="3.9951 0.0000 0.0000 0.0000 7.4674 0.0000 0.0000 0.0000 9.6996" Properties=species:S:1:pos:R:3 comment="VTeSe (PBE, optimized geometry)" volume_a3_per_atom=24.114 pbc="T T T"
Se 2.9963 0.1828 6.8922
Se 0.9988 3.9166 7.6572
Se 0.9988 7.2846 2.8074
Se 2.9963 3.5509 2.0424
V 2.9963 0.4871 4.2068
V 0.9988 4.2208 0.6429
V 0.9988 6.9803 5.4927
V 2.9963 3.2466 9.0566
Te 2.9963 5.2848 4.7547
Te 0.9988 1.5510 0.0951
Te 0.9988 2.1827 4.9449
Te 2.9963 5.9164 9.6045

Energies, relative to the best one, in eV/atom: one 0.000; two 0.263.

one.
5
Lattice="5.4157 0.0000 0.0000 0.0000 5.4157 0.0000 0.0000 0.0000 5.4157" Properties=species:S:1:pos:R:3 comment="VTe3Se (PBE, optimized geometry)" volume_a3_per_atom=31.768 pbc="T T T"
Te 0.0000 2.7078 0.0000
Te 0.0000 0.0000 2.7078
Te 2.7078 0.0000 0.0000
Se 0.0000 0.0000 0.0000
V 2.7078 2.7078 2.7078

two.
5
Lattice="5.1327 0.0000 0.0000 0.0000 5.1327 0.0000 0.0000 0.0000 5.1327" Properties=species:S:1:pos:R:3 comment="VTe3Se (PBE, optimized geometry)" volume_a3_per_atom=27.044 pbc="T T T"
Te 0.0000 2.5663 0.0000
Te 0.0000 0.0000 2.5663
Te 2.5663 0.0000 0.0000
Se 2.5663 2.5663 2.5663
V 0.0000 0.0000 0.0000

Energies, relative to the best one, in eV/atom: one 0.496; two 0.000.